Entry 1:
Er4FeSe (PBE-GGA, optimized geometry); magnetization = 0.0 μB per formula unit; N(E_F) = 22.8 states/eV/cell; raw total energy = -0.2046 hartree per atom; formation energy from raw total energies = -0.5331 eV per atom
1.0
3.869 0.000 0.000
0.000 7.797 0.000
0.000 0.000 18.775
Er Se Fe
16 4 4
Direct
0.750 0.953 0.219
0.250 0.635 0.145
0.750 0.865 0.645
0.750 0.358 0.046
0.250 0.999 0.069
0.250 0.547 0.719
0.750 0.501 0.569
0.250 0.142 0.546
0.250 0.135 0.355
0.750 0.858 0.454
0.250 0.642 0.954
0.750 0.453 0.281
0.750 0.365 0.855
0.250 0.499 0.431
0.250 0.047 0.781
0.750 0.001 0.931
0.250 0.249 0.193
0.750 0.751 0.807
0.750 0.251 0.693
0.250 0.749 0.307
0.750 0.746 0.053
0.250 0.754 0.553
0.750 0.246 0.447
0.250 0.254 0.947


Entry 2:
ErFeSe (PBE-GGA, optimized geometry); magnetization = 2.1 μB per formula unit; N(E_F) = 2.5 states/eV/cell; raw total energy = -0.2286 hartree per atom; formation energy from raw total energies = -0.7185 eV per atom
1.0
-2.277 3.468 -0.396
-2.112 0.715 -3.521
-9.265 -3.303 2.420
Er Se Fe
2 2 2
Direct
0.436 0.436 0.693
0.564 0.564 0.307
0.725 0.725 0.824
0.275 0.275 0.176
0.173 0.173 0.481
0.827 0.827 0.519


Entry 3:
Er2FeSe (PBE-GGA, optimized geometry); magnetization = 1.5 μB per formula unit; N(E_F) = 3.1 states/eV/cell; raw total energy = -0.1963 hartree per atom; formation energy from raw total energies = -0.0745 eV per atom
1.0
3.624 0.000 0.000
1.812 3.139 0.000
1.812 1.046 8.722
Er Se Fe
2 1 1
Direct
0.905 0.905 0.284
0.095 0.095 0.716
0.500 0.500 0.500
0.000 0.000 0.000


Entry 4:
Er5Fe2Se2 (PBE-GGA, optimized geometry); magnetization = 0.0 μB per formula unit; N(E_F) = 9.5 states/eV/cell; raw total energy = -0.2186 hartree per atom; formation energy from raw total energies = -0.7596 eV per atom
1.0
6.915 0.000 2.510
0.000 7.316 0.000
0.892 0.000 8.324
Fe Er Se
4 10 4
Direct
0.392 0.895 0.000
0.108 0.395 0.000
0.892 0.605 0.000
0.608 0.105 0.000
0.798 0.830 0.748
0.047 0.670 0.252
0.953 0.330 0.748
0.702 0.330 0.252
0.500 0.500 0.000
0.298 0.670 0.748
0.202 0.170 0.252
0.000 0.000 0.000
0.453 0.170 0.748
0.547 0.830 0.252
0.791 0.000 0.418
0.291 0.500 0.418
0.709 0.500 0.582
0.209 0.000 0.582


Entry 5:
ErFe2Si3 (PBE-GGA, optimized geometry); magnetization = 0.0 μB per formula unit; N(E_F) = 7.9 states/eV/cell; raw total energy = -0.2530 hartree per atom; formation energy from raw total energies = -0.5914 eV per atom
1.0
-3.046 4.174 -0.140
-4.674 -3.433 -0.647
0.518 0.572 5.784
Si Fe Er
6 4 2
Direct
0.250 0.899 0.530
0.750 0.057 0.057
0.750 0.101 0.470
0.250 0.530 0.899
0.250 0.943 0.943
0.750 0.470 0.101
0.500 0.797 0.203
0.000 0.203 0.797
0.000 0.797 0.203
0.500 0.203 0.797
0.250 0.342 0.342
0.750 0.658 0.658


Entry 6:
Er2FeSi2 (PBE-GGA, optimized geometry); magnetization = 0.0 μB per formula unit; N(E_F) = 5.8 states/eV/cell; raw total energy = -0.2356 hartree per atom; formation energy from raw total energies = -0.7234 eV per atom
1.0
-5.425 1.154 -0.646
-4.625 -0.322 3.113
-3.288 8.404 4.002
Er Si Fe
4 4 2
Direct
0.999 0.999 0.672
0.001 0.001 0.328
0.812 0.812 0.109
0.188 0.188 0.891
0.653 0.653 0.436
0.499 0.499 0.873
0.501 0.501 0.127
0.347 0.347 0.564
0.271 0.271 0.376
0.729 0.729 0.624


Entry 7:
Er2Fe14Si3 (PBE-GGA, optimized geometry); magnetization = 26.4 μB per formula unit; N(E_F) = 31.9 states/eV/cell; raw total energy = -0.2885 hartree per atom; formation energy from raw total energies = -0.2783 eV per atom
1.0
8.307 0.000 0.000
-4.154 7.194 0.000
0.000 0.000 8.177
Fe Er Si
28 4 6
Direct
0.832 0.665 0.015
0.832 0.665 0.485
0.329 0.358 0.250
0.971 0.642 0.750
0.329 0.971 0.250
0.971 0.329 0.750
0.335 0.168 0.015
0.168 0.335 0.515
0.168 0.335 0.985
0.665 0.832 0.515
0.168 0.832 0.985
0.029 0.358 0.250
0.333 0.667 0.110
0.671 0.029 0.750
0.168 0.832 0.515
0.358 0.029 0.750
0.667 0.333 0.890
0.671 0.642 0.750
0.029 0.671 0.250
0.642 0.671 0.250
0.832 0.168 0.485
0.335 0.168 0.485
0.665 0.832 0.985
0.642 0.971 0.250
0.832 0.168 0.015
0.333 0.667 0.390
0.358 0.329 0.750
0.667 0.333 0.610
0.667 0.333 0.250
0.000 0.000 0.750
0.333 0.667 0.750
0.000 0.000 0.250
0.000 0.500 0.500
0.000 0.500 0.000
0.500 0.500 0.500
0.500 0.000 0.000
0.500 0.000 0.500
0.500 0.500 0.000


Entry 8:
Er2FeSi3 (PBE-GGA, optimized geometry); magnetization = 1.1 μB per formula unit; N(E_F) = 10.2 states/eV/cell; raw total energy = -0.2306 hartree per atom; formation energy from raw total energies = -0.6324 eV per atom
1.0
-2.199 -1.987 4.768
0.934 -5.193 -1.918
6.931 3.642 1.502
Fe Er Si
2 4 6
Direct
0.665 0.665 0.330
0.335 0.335 0.670
0.250 0.750 0.500
0.253 0.253 0.000
0.750 0.250 0.500
0.747 0.747 0.000
0.828 0.828 0.656
0.172 0.172 0.344
0.658 0.171 0.829
0.342 0.829 0.171
0.829 0.342 0.171
0.171 0.658 0.829


Entry 9:
Er2Fe3Si5 (PBE-GGA, optimized geometry); magnetization = 0.0 μB per formula unit; N(E_F) = 10.6 states/eV/cell; raw total energy = -0.2517 hartree per atom; formation energy from raw total energies = -0.6851 eV per atom; relative energy among the computed polymorphs = 0.016 eV/atom
1.0
5.091 0.000 1.697
1.971 7.255 2.572
0.181 -0.123 7.942
Er Si Fe
4 10 6
Direct
0.639 0.130 0.591
0.861 0.409 0.870
0.361 0.870 0.409
0.139 0.591 0.130
0.592 0.736 0.080
0.750 0.500 0.500
0.092 0.080 0.736
0.908 0.920 0.264
0.041 0.209 0.209
0.459 0.791 0.791
0.250 0.500 0.500
0.541 0.209 0.209
0.408 0.264 0.920
0.959 0.791 0.791
0.750 0.000 0.000
0.250 0.000 0.000
0.646 0.444 0.264
0.146 0.264 0.444
0.354 0.556 0.736
0.854 0.736 0.556


Entry 10:
Er2Fe3Si5 (PBE-GGA, optimized geometry); magnetization = 0.0 μB per formula unit; N(E_F) = 19.9 states/eV/cell; raw total energy = -0.2523 hartree per atom; formation energy from raw total energies = -0.7012 eV per atom; relative energy among the computed polymorphs = 0.000 eV/atom
1.0
-0.612 -7.978 6.524
10.046 -1.920 -1.405
1.211 3.301 4.150
Fe Si Er
12 20 8
Direct
0.123 0.144 0.500
0.000 0.500 0.750
0.856 0.123 0.500
0.377 0.644 0.000
0.644 0.623 0.000
0.877 0.856 0.500
0.144 0.877 0.500
0.500 0.000 0.250
0.000 0.500 0.250
0.500 0.000 0.750
0.623 0.356 0.000
0.356 0.377 0.000
0.322 0.822 0.250
0.178 0.322 0.250
0.822 0.678 0.750
0.680 0.977 0.500
0.678 0.178 0.250
0.822 0.678 0.250
0.977 0.320 0.500
0.000 0.000 0.265
0.523 0.820 0.000
0.500 0.500 0.765
0.000 0.000 0.735
0.477 0.180 0.000
0.023 0.680 0.500
0.678 0.178 0.750
0.178 0.322 0.750
0.500 0.500 0.235
0.820 0.477 0.000
0.322 0.822 0.750
0.320 0.023 0.500
0.180 0.523 0.000
0.264 0.569 0.500
0.236 0.069 0.000
0.431 0.264 0.500
0.736 0.431 0.500
0.569 0.736 0.500
0.931 0.236 0.000
0.764 0.931 0.000
0.069 0.764 0.000


Entry 11:
Er2Fe5Si4 (PBE-GGA, optimized geometry); magnetization = 2.5 μB per formula unit; N(E_F) = 8.3 states/eV/cell; raw total energy = -0.2640 hartree per atom; formation energy from raw total energies = -0.5359 eV per atom
1.0
5.379 0.000 0.000
2.689 4.614 0.000
2.689 0.000 6.483
Er Fe Si
2 5 4
Direct
0.133 0.000 0.733
0.867 0.000 0.267
0.250 0.500 0.500
0.000 0.500 0.000
0.500 0.000 0.000
0.500 0.500 0.000
0.750 0.500 0.500
0.489 0.293 0.729
0.782 0.707 0.729
0.218 0.293 0.271
0.511 0.707 0.271


Entry 12:
ErFeSi2 (PBE-GGA, optimized geometry); magnetization = 0.0 μB per formula unit; N(E_F) = 3.2 states/eV/cell; raw total energy = -0.2432 hartree per atom; formation energy from raw total energies = -0.6486 eV per atom
1.0
-2.195 -0.623 -3.148
-0.820 -3.635 -1.109
-5.039 -1.365 1.383
Si Fe Er
2 1 1
Direct
0.291 0.291 0.126
0.709 0.709 0.874
0.000 0.000 0.000
0.500 0.500 0.500


Repeat the twelfth record exactly.
ErFeSi2 (PBE-GGA, optimized geometry); magnetization = 0.0 μB per formula unit; N(E_F) = 3.2 states/eV/cell; raw total energy = -0.2432 hartree per atom; formation energy from raw total energies = -0.6486 eV per atom
1.0
-2.195 -0.623 -3.148
-0.820 -3.635 -1.109
-5.039 -1.365 1.383
Si Fe Er
2 1 1
Direct
0.291 0.291 0.126
0.709 0.709 0.874
0.000 0.000 0.000
0.500 0.500 0.500


Please write out number 9 again, unchanged.
Er2Fe3Si5 (PBE-GGA, optimized geometry); magnetization = 0.0 μB per formula unit; N(E_F) = 10.6 states/eV/cell; raw total energy = -0.2517 hartree per atom; formation energy from raw total energies = -0.6851 eV per atom; relative energy among the computed polymorphs = 0.016 eV/atom
1.0
5.091 0.000 1.697
1.971 7.255 2.572
0.181 -0.123 7.942
Er Si Fe
4 10 6
Direct
0.639 0.130 0.591
0.861 0.409 0.870
0.361 0.870 0.409
0.139 0.591 0.130
0.592 0.736 0.080
0.750 0.500 0.500
0.092 0.080 0.736
0.908 0.920 0.264
0.041 0.209 0.209
0.459 0.791 0.791
0.250 0.500 0.500
0.541 0.209 0.209
0.408 0.264 0.920
0.959 0.791 0.791
0.750 0.000 0.000
0.250 0.000 0.000
0.646 0.444 0.264
0.146 0.264 0.444
0.354 0.556 0.736
0.854 0.736 0.556


Question: Look up the N(E_F) of the eleventh one.
Answer: 8.3 states/eV/cell


Question: Which of these has the highest raw total energy?
Answer: Er2FeSe